1.
A plane-wave DFT calculation with GGA-PBE was carried out for crystalline KTl2PSe4 at its relaxed geometry. Values from VASP.

Cell and atoms, written as Quantum ESPRESSO input:
```
&SYSTEM
  ibrav = 0, nat = 16, ntyp = 4
/
ATOMIC_SPECIES
K 39.10 K.upf
Tl 204.38 Tl.upf
P 30.97 P.upf
Se 78.96 Se.upf
CELL_PARAMETERS angstrom
8.309 0.000 0.000
3.191 8.075 0.000
4.055 1.419 7.765
ATOMIC_POSITIONS angstrom
K 0.000 0.000 0.000
K 2.240 0.812 3.866
Tl 9.052 5.627 7.450
Tl 7.592 3.866 4.612
Tl 9.572 8.097 3.982
Tl 11.929 4.974 4.299
P 7.590 7.034 0.517
P 9.457 3.720 0.697
Se 3.149 3.162 1.626
Se 5.269 2.612 5.034
Se 7.356 6.479 5.420
Se 5.693 6.191 1.465
Se 9.854 3.398 6.102
Se 11.617 7.534 6.220
Se 7.959 2.684 2.081
Se 9.390 5.916 1.522
```

Calculated volume = 521.0 Å³ per cell
Raw formation energy = -386 meV/atom
Space group = P1 (1)
Uncorrected energy = -3.53 eV/atom

---

2.
A plane-wave DFT calculation with GGA-PBE was carried out for crystalline Ho6PSe3S2 at its relaxed geometry. Values from VASP.

Cell and atoms, written as Quantum ESPRESSO input:
```
&SYSTEM
  ibrav = 0, nat = 12, ntyp = 4
/
ATOMIC_SPECIES
Ho 164.93 Ho.upf
P 30.97 P.upf
Se 78.96 Se.upf
S 32.06 S.upf
CELL_PARAMETERS angstrom
3.432 -5.943 0.000
3.432 5.943 0.000
-2.284 0.000 6.622
ATOMIC_POSITIONS angstrom
Ho 1.130 1.954 1.488
Ho -0.027 0.000 5.134
Ho 1.130 -1.954 1.488
Ho 3.450 1.954 5.134
Ho 4.607 0.000 1.489
Ho 3.450 -1.954 5.134
P 0.000 0.000 0.000
Se 2.290 3.952 3.311
Se 2.290 0.000 3.311
Se 2.290 -3.952 3.311
S 3.432 1.980 0.000
S 3.432 -1.980 0.000
```

Calculated volume = 270.2 Å³ per cell
Raw formation energy = -1844 meV/atom
Space group = C2/m (12)
Uncorrected energy = -6.14 eV/atom

---

3.
A plane-wave DFT calculation with GGA-PBE was carried out for crystalline ZnGa2ClF at its relaxed geometry. Values from VASP.

Cell and atoms, written as Quantum ESPRESSO input:
```
&SYSTEM
  ibrav = 0, nat = 5, ntyp = 4
/
ATOMIC_SPECIES
Zn 65.41 Zn.upf
Ga 69.72 Ga.upf
Cl 35.45 Cl.upf
F 19.00 F.upf
CELL_PARAMETERS angstrom
5.030 0.000 0.000
0.000 5.030 0.000
0.000 0.000 4.723
ATOMIC_POSITIONS angstrom
Zn 0.000 0.000 0.000
Ga 0.000 2.515 0.000
Ga 2.515 0.000 0.000
Cl 0.000 0.000 2.362
F 2.515 2.515 2.362
```

Calculated volume = 119.5 Å³ per cell
Raw formation energy = -364 meV/atom
Space group = P4/mmm (123)
Uncorrected energy = -2.57 eV/atom